Version i
Density functional theory data (GGA-PBE) for crystalline BaMg4Cd2 at its relaxed geometry.

Cell and atoms, written as POSCAR:
```
BaMg4Cd2
1.0
4.967 0.000 0.000
2.483 4.301 0.000
2.483 1.434 9.260
Ba Mg Cd
1 4 2
direct
0.000 0.000 0.000
0.434 0.434 0.697
0.140 0.140 0.579
0.566 0.566 0.303
0.860 0.860 0.421
0.249 0.249 0.254
0.751 0.751 0.746
```

Output
Crystal system   trigonal

***

Version ii
Density functional theory data (GGA-PBE) for crystalline BaMg4Cd2 at its relaxed geometry.

Cell and atoms, written as POSCAR:
```
BaMg4Cd2
1.0
0.209 6.054 0.457
1.071 2.664 5.605
5.487 2.993 -0.774
Ba Mg Cd
1 4 2
direct
0.000 0.000 0.000
0.692 0.615 0.000
0.308 0.385 0.000
0.692 0.000 0.615
0.308 0.000 0.385
0.746 0.503 0.503
0.254 0.497 0.497
```

Output
Crystal system   monoclinic

***

Which is the most stable structure? version i is the most stable.

***

Version i
Density functional theory data (GGA-PBE) for crystalline BaMg2Cd6 at its relaxed geometry.

Cell and atoms, written as POSCAR:
```
BaMg2Cd6
1.0
-2.909 0.503 1.511
-4.078 -5.239 -6.107
3.304 -3.628 7.569
Ba Mg Cd
1 2 6
direct
0.000 0.000 0.000
0.000 0.333 0.667
0.000 0.667 0.333
0.500 0.343 0.343
0.500 0.657 0.657
0.500 0.000 0.657
0.500 0.657 0.000
0.500 0.343 0.000
0.500 0.000 0.343
```

Output
Crystal system   hexagonal

***

Version ii
Density functional theory data (GGA-PBE) for crystalline BaMg2Cd6 at its relaxed geometry.

Cell and atoms, written as POSCAR:
```
BaMg2Cd6
1.0
-4.175 0.586 -1.679
-2.049 -7.303 2.546
1.068 6.028 5.579
Ba Mg Cd
1 2 6
direct
0.000 0.500 0.000
0.879 0.879 0.758
0.121 0.121 0.242
0.691 0.884 0.382
0.309 0.116 0.618
0.309 0.502 0.618
0.500 0.173 0.000
0.500 0.827 0.000
0.691 0.498 0.382
```

Output
Crystal system   orthorhombic

***

Which is the most stable structure? version ii is the most stable.